! NbTePt3 (GGA-PBEsol, relaxed); values from VASP
! Energy relative to the elements, uncorrected in meV/atom: 1144
! E above lowest polymorph in eV per atom: 0.099
! Magnetization in μB/f.u.: 2.71
&SYSTEM
  ibrav = 0, nat = 5, ntyp = 3
/
ATOMIC_SPECIES
Nb 92.91 Nb.upf
Te 127.60 Te.upf
Pt 195.08 Pt.upf
CELL_PARAMETERS angstrom
4.8257 0.0000 0.0000
0.0000 4.8257 0.0000
0.0000 0.0000 4.8257
ATOMIC_POSITIONS angstrom
Nb 2.4128 2.4128 2.4128
Te 0.0000 0.0000 0.0000
Pt 0.0000 2.4128 0.0000
Pt 0.0000 0.0000 2.4128
Pt 2.4128 0.0000 0.0000



! YCuAg (GGA-PBEsol, relaxed); values from VASP
! E above lowest polymorph in eV per atom: 0.004
! Magnetization in μB/f.u.: 0.00
&SYSTEM
  ibrav = 0, nat = 3, ntyp = 3
/
ATOMIC_SPECIES
Y 88.91 Y.upf
Ag 107.87 Ag.upf
Cu 63.55 Cu.upf
CELL_PARAMETERS angstrom
3.5383 0.0000 0.0000
0.0000 3.5383 0.0000
-1.7691 -1.7691 4.4886
ATOMIC_POSITIONS angstrom
Y 1.7691 1.7691 1.5307
Ag 1.7691 1.7691 4.3896
Cu 0.0000 0.0000 3.0569



! CsZr2GeO (GGA-PBEsol, relaxed); values from VASP
! Energy relative to the elements, uncorrected in meV/atom: 1401
! Magnetization in μB/f.u.: 0.00
&SYSTEM
  ibrav = 0, nat = 5, ntyp = 4
/
ATOMIC_SPECIES
Cs 132.91 Cs.upf
Ge 72.64 Ge.upf
O 16.00 O.upf
Zr 91.22 Zr.upf
CELL_PARAMETERS angstrom
-2.4694 -1.6952 -2.9853
1.8042 -4.8262 1.2481
-3.9072 -0.5448 3.5414
ATOMIC_POSITIONS angstrom
Cs 0.0000 0.0000 0.0000
Ge -2.2862 -3.5331 0.9021
O -1.2347 -0.8476 -1.4927
Zr -1.9536 -0.2724 1.7707
Zr 0.9021 -2.4131 0.6241



! TcP3Pd (GGA-PBEsol, relaxed); values from VASP
! Magnetization in μB/f.u.: 1.72
&SYSTEM
  ibrav = 0, nat = 5, ntyp = 3
/
ATOMIC_SPECIES
P 30.97 P.upf
Tc 98.00 Tc.upf
Pd 106.42 Pd.upf
CELL_PARAMETERS angstrom
-4.4257 0.4274 -0.7842
0.7481 -0.3915 -4.4353
-0.4879 -4.4776 0.3130
ATOMIC_POSITIONS angstrom
P 0.3740 -0.1958 -2.2176
P -0.2439 -2.2388 0.1565
P -2.2129 0.2137 -0.3921
Tc -2.0828 -2.2208 -2.4533
Pd 0.0000 0.0000 0.0000



! CsPF6 (GGA-PBEsol, relaxed); values from VASP
! Energy relative to the elements, uncorrected in meV/atom: -2864
! Magnetization in μB/f.u.: 0.00
&SYSTEM
  ibrav = 0, nat = 8, ntyp = 3
/
ATOMIC_SPECIES
Cs 132.91 Cs.upf
P 30.97 P.upf
F 19.00 F.upf
CELL_PARAMETERS angstrom
5.8670 0.1758 0.1242
3.0843 4.9938 0.1241
3.0843 1.7813 4.6671
ATOMIC_POSITIONS angstrom
Cs 6.0178 3.4754 2.4578
P 0.0000 0.0000 0.0000
F 4.3307 0.6212 0.4393
F 2.7023 3.4403 0.4392
F 2.7023 1.5607 3.0976
F 9.3333 5.3901 1.8179
F 9.3333 3.5106 4.4763
F 7.7049 6.3297 4.4762



! Cs3SI (GGA-PBEsol, relaxed); values from VASP
! Energy relative to the elements, uncorrected in meV/atom: -1129
! Magnetization in μB/f.u.: 0.00
&SYSTEM
  ibrav = 0, nat = 5, ntyp = 3
/
ATOMIC_SPECIES
Cs 132.91 Cs.upf
I 126.90 I.upf
S 32.06 S.upf
CELL_PARAMETERS angstrom
-4.3263 3.7532 -3.1827
-4.5975 -1.5718 4.3960
1.7546 5.1357 3.6713
ATOMIC_POSITIONS angstrom
Cs -2.2988 -0.7859 2.1980
Cs 0.8773 2.5679 1.8357
Cs -2.1632 1.8766 -1.5913
I -3.5846 3.6586 2.4423
S 0.0000 0.0000 0.0000



! Sr2CaIr (GGA-PBEsol, relaxed); values from VASP
! E above lowest polymorph in eV per atom: 0.056
! Magnetization in μB/f.u.: 0.00
&SYSTEM
  ibrav = 0, nat = 4, ntyp = 3
/
ATOMIC_SPECIES
Sr 87.62 Sr.upf
Ca 40.08 Ca.upf
Ir 192.22 Ir.upf
CELL_PARAMETERS angstrom
-0.3089 -3.3375 -1.2973
3.3173 0.2235 -1.3649
3.8212 -3.7264 8.6770
ATOMIC_POSITIONS angstrom
Sr 3.4766 -3.3904 7.8946
Sr 2.5115 -2.5392 0.9561
Ca 2.2516 -2.1957 5.1129
Ir 4.3216 -4.3045 5.0666



! BaTaAu2 (GGA-PBEsol, relaxed); values from VASP
! Magnetization in μB/f.u.: 0.00
&SYSTEM
  ibrav = 0, nat = 4, ntyp = 3
/
ATOMIC_SPECIES
Au 196.97 Au.upf
Ba 137.33 Ba.upf
Ta 180.95 Ta.upf
CELL_PARAMETERS angstrom
3.4389 0.0000 0.0000
0.0000 3.4403 0.0000
0.0000 0.0000 7.7226
ATOMIC_POSITIONS angstrom
Au 0.0000 0.0000 7.6711
Au 1.7195 1.7201 1.4743
Ba 0.0000 0.0000 3.7659
Ta 1.7195 1.7201 6.3952



! Sc3InRu (GGA-PBEsol, relaxed); values from VASP
! E above lowest polymorph in eV per atom: 1.296
! Magnetization in μB/f.u.: 0.40
&SYSTEM
  ibrav = 0, nat = 5, ntyp = 3
/
ATOMIC_SPECIES
Sc 44.96 Sc.upf
Ru 101.07 Ru.upf
In 114.82 In.upf
CELL_PARAMETERS angstrom
5.1220 0.0000 0.0000
0.0000 5.1220 0.0000
0.0000 0.0000 5.1220
ATOMIC_POSITIONS angstrom
Sc 0.0000 2.5610 0.0000
Sc 0.0000 0.0000 2.5610
Sc 2.5610 0.0000 0.0000
Ru 2.5610 2.5610 2.5610
In 0.0000 0.0000 0.0000



! TlCrFe2 (GGA-PBEsol, relaxed); values from VASP
! Magnetization in μB/f.u.: 2.12
&SYSTEM
  ibrav = 0, nat = 4, ntyp = 3
/
ATOMIC_SPECIES
Cr 52.00 Cr.upf
Fe 55.84 Fe.upf
Tl 204.38 Tl.upf
CELL_PARAMETERS angstrom
-1.6374 1.1933 -3.7834
0.0649 -2.7191 -3.3199
-3.6544 -1.7567 -1.4067
ATOMIC_POSITIONS angstrom
Cr -2.6134 -1.6413 -4.2550
Fe 0.0000 0.0000 0.0000
Fe -1.3067 -0.8206 -2.1275
Tl -3.9201 -2.4619 -6.3825



! Ba4Pb3O10 (GGA-PBEsol, relaxed); values from VASP
! Energy relative to the elements, uncorrected in meV/atom: -1827
! Magnetization in μB/f.u.: 0.00
&SYSTEM
  ibrav = 0, nat = 17, ntyp = 3
/
ATOMIC_SPECIES
Ba 137.33 Ba.upf
Pb 207.20 Pb.upf
O 16.00 O.upf
CELL_PARAMETERS angstrom
4.3059 0.0004 -0.0030
-0.0005 4.3059 -0.0026
-2.1417 -2.1432 15.1728
ATOMIC_POSITIONS angstrom
Ba -0.0072 -0.0168 9.0208
Ba -0.0024 -0.0135 13.0630
Ba 2.1453 2.1352 6.1463
Ba 2.1423 2.1323 2.1042
Pb 4.2926 4.2844 -0.0056
Pb -0.0090 -0.0192 4.2997
Pb 2.1469 2.1374 10.8675
O -0.0063 2.1367 10.9200
O -0.0082 2.1338 4.2467
O -0.0137 -0.0195 2.1444
O -0.0088 -0.0188 6.4497
O 2.1470 2.1407 13.0228
O 4.2921 2.1314 -0.0028
O 2.1457 -0.0155 10.9213
O 2.1438 -0.0183 4.2466
O -0.0023 2.1392 15.1679
O 2.1453 2.1355 8.7174



! CaAlTe2 (GGA-PBEsol, relaxed); values from VASP
! Energy relative to the elements, uncorrected in meV/atom: -805
! Magnetization in μB/f.u.: 0.00
&SYSTEM
  ibrav = 0, nat = 4, ntyp = 3
/
ATOMIC_SPECIES
Ca 40.08 Ca.upf
Te 127.60 Te.upf
Al 26.98 Al.upf
CELL_PARAMETERS angstrom
4.1675 0.0000 0.0000
2.0837 3.6091 0.0000
2.0837 1.2030 7.3539
ATOMIC_POSITIONS angstrom
Ca 4.1675 2.4061 3.6769
Te 6.2512 3.6091 5.7075
Te 2.0837 1.2030 1.6463
Al 0.0000 0.0000 0.0000



! NaLi2MgSb (GGA-PBEsol, relaxed); values from VASP
! Energy relative to the elements, uncorrected in meV/atom: 255
! Magnetization in μB/f.u.: 0.00
&SYSTEM
  ibrav = 0, nat = 5, ntyp = 4
/
ATOMIC_SPECIES
Sb 121.76 Sb.upf
Mg 24.30 Mg.upf
Li 6.94 Li.upf
Na 22.99 Na.upf
CELL_PARAMETERS angstrom
-1.3092 0.0776 -4.6252
-4.6100 -0.4191 1.2979
-0.4255 5.3296 0.2099
ATOMIC_POSITIONS angstrom
Sb -0.2127 2.6648 0.1050
Mg -3.1724 2.4940 -1.5587
Li -2.3050 -0.2096 0.6490
Li -0.6546 0.0388 -2.3126
Na 0.0000 0.0000 0.0000



! NdHoMg2 (GGA-PBEsol, relaxed); values from VASP
! Magnetization in μB/f.u.: 0.00
&SYSTEM
  ibrav = 0, nat = 4, ntyp = 3
/
ATOMIC_SPECIES
Mg 24.30 Mg.upf
Nd 144.24 Nd.upf
Ho 164.93 Ho.upf
CELL_PARAMETERS angstrom
-4.6345 -1.7631 -1.9865
-0.0458 -2.9668 -4.4418
-1.2180 -5.1940 0.2698
ATOMIC_POSITIONS angstrom
Mg -1.4746 -2.4810 -1.5396
Mg -4.4238 -7.4429 -4.6189
Nd 0.0000 0.0000 0.0000
Ho -2.9492 -4.9619 -3.0793



! Ca3RuI (GGA-PBEsol, relaxed); values from VASP
! Energy relative to the elements, uncorrected in meV/atom: -110
! E above lowest polymorph in eV per atom: 0.000
! Magnetization in μB/f.u.: 0.00
&SYSTEM
  ibrav = 0, nat = 5, ntyp = 3
/
ATOMIC_SPECIES
I 126.90 I.upf
Ru 101.07 Ru.upf
Ca 40.08 Ca.upf
CELL_PARAMETERS angstrom
-0.2724 2.3317 -4.8736
0.6618 -4.8286 -2.3472
-5.3619 -0.7144 -0.0421
ATOMIC_POSITIONS angstrom
I -2.4863 -1.6056 -3.6314
Ru 0.0000 0.0000 0.0000
Ca 0.3309 -2.4143 -1.1736
Ca -2.6810 -0.3572 -0.0211
Ca -0.1362 1.1658 -2.4368



! Li2TeIr (GGA-PBEsol, relaxed); values from VASP
! Energy relative to the elements, uncorrected in meV/atom: -161
! Magnetization in μB/f.u.: 0.00
&SYSTEM
  ibrav = 0, nat = 4, ntyp = 3
/
ATOMIC_SPECIES
Ir 192.22 Ir.upf
Te 127.60 Te.upf
Li 6.94 Li.upf
CELL_PARAMETERS angstrom
3.0570 0.0000 0.0000
0.0000 4.5317 0.0000
0.0000 0.0000 4.6926
ATOMIC_POSITIONS angstrom
Ir 1.5285 2.2659 1.1250
Te 1.5285 0.0000 2.3472
Li 0.0000 0.0000 0.1240
Li 0.0000 2.2659 3.4428



! AsPbSeBr2 (GGA-PBEsol, relaxed); values from VASP
! Energy relative to the elements, uncorrected in meV/atom: 204
! Magnetization in μB/f.u.: 0.00
&SYSTEM
  ibrav = 0, nat = 5, ntyp = 4
/
ATOMIC_SPECIES
Pb 207.20 Pb.upf
As 74.92 As.upf
Se 78.96 Se.upf
Br 79.90 Br.upf
CELL_PARAMETERS angstrom
-0.8111 1.2860 -5.0331
-5.0505 -0.6088 0.6583
-0.4218 4.9363 1.3292
ATOMIC_POSITIONS angstrom
Pb -3.1417 2.8067 -1.5228
As -0.4055 0.6430 -2.5165
Se 0.0000 0.0000 0.0000
Br -0.2109 2.4681 0.6646
Br -2.5253 -0.3044 0.3292



! SbOsIN2 (GGA-PBEsol, relaxed); values from VASP
! Energy relative to the elements, uncorrected in meV/atom: 2108
! Magnetization in μB/f.u.: 3.07
&SYSTEM
  ibrav = 0, nat = 5, ntyp = 4
/
ATOMIC_SPECIES
I 126.90 I.upf
Sb 121.76 Sb.upf
Os 190.23 Os.upf
N 14.01 N.upf
CELL_PARAMETERS angstrom
3.9254 0.0000 0.0000
0.0000 3.9254 0.0000
0.0000 0.0000 6.5373
ATOMIC_POSITIONS angstrom
I 0.0000 0.0000 3.2686
Sb 0.0000 0.0000 0.0000
Os 1.9627 1.9627 3.2686
N 0.0000 1.9627 0.0000
N 1.9627 0.0000 0.0000



! TcPb3F (GGA-PBEsol, relaxed); values from VASP
! Energy relative to the elements, uncorrected in meV/atom: 269
! Magnetization in μB/f.u.: 3.01
&SYSTEM
  ibrav = 0, nat = 5, ntyp = 3
/
ATOMIC_SPECIES
Pb 207.20 Pb.upf
Tc 98.00 Tc.upf
F 19.00 F.upf
CELL_PARAMETERS angstrom
4.8909 0.0000 0.0000
0.0000 4.8909 0.0000
0.0000 0.0000 4.8909
ATOMIC_POSITIONS angstrom
Pb 0.0000 2.4454 0.0000
Pb 0.0000 0.0000 2.4454
Pb 2.4454 0.0000 0.0000
Tc 2.4454 2.4454 2.4454
F 0.0000 0.0000 0.0000



! InAsH2O5 (GGA-PBEsol, relaxed); values from VASP
! Magnetization in μB/f.u.: 0.00
&SYSTEM
  ibrav = 0, nat = 18, ntyp = 4
/
ATOMIC_SPECIES
In 114.82 In.upf
As 74.92 As.upf
H 1.01 H.upf
O 16.00 O.upf
CELL_PARAMETERS angstrom
-3.0324 4.6015 -0.2757
-0.9260 -2.2614 5.1151
5.7612 3.2331 1.3875
ATOMIC_POSITIONS angstrom
In -1.3313 2.0025 3.8282
In 3.1341 3.5707 2.3987
As 1.2195 3.8065 5.3302
As 0.5833 1.7667 0.8966
H -1.5636 4.1662 1.9380
H 3.3664 1.4069 4.2888
H 0.3894 -0.3688 3.4669
H 1.4134 5.9420 2.7600
O 2.5763 4.3677 4.3960
O -0.7735 1.2055 1.8309
O 2.6833 5.5858 1.7692
O -0.8805 -0.0126 4.4576
O 0.6027 2.5025 4.4609
O 1.2001 3.0707 1.7659
O 3.2214 0.5692 5.7589
O -1.4186 5.0040 0.4680
O -1.7429 3.8894 2.8897
O 3.5457 1.6838 3.3372



Calculated E (eV/atom), listed in the same order as above: -5.90 -5.04 -4.46 -5.67 -5.15 -2.92 -3.91 -5.41 -5.44 -7.15 -6.13 -4.12 -2.07 -3.47 -3.78 -4.48 -3.14 -5.01 -4.77 -5.84